Entry 1:
{
  "formula": "TlAsAu2I",
  "functional": "PBE",
  "state": "relaxed",
  "sg": "P4/mmm, No. 123",
  "final_energy_ev_per_atom": -2.99,
  "e_form_raw_ev_per_fu": 0.187,
  "crystal_system": "tetragonal",
  "lattice": [[5.001, 0.000, 0.000], [0.000, 6.230, 0.000], [0.000, 0.000, 5.001]],
  "species": ["Tl", "I", "Au", "Au", "As"],
  "fractional_positions": [[0.500, 0.500, 0.500], [0.000, 0.500, 0.000], [0.000, 0.000, 0.500], [0.500, 0.000, 0.000], [0.000, 0.000, 0.000]]
}

Entry 2:
{
  "formula": "K3Tm3SbO8",
  "functional": "PBE",
  "state": "relaxed",
  "sg": "R-3m, No. 166",
  "final_energy_ev_per_atom": -6.56,
  "e_form_raw_ev_per_fu": -37.940,
  "crystal_system": "trigonal",
  "lattice": [[6.783, -0.001, 0.001], [-3.392, 5.875, -0.022], [0.001, -3.894, 6.336]],
  "species": ["K", "K", "K", "O", "O", "O", "O", "O", "O", "O", "O", "Tm", "Tm", "Tm", "Sb"],
  "fractional_positions": [[0.500, 0.500, 0.000], [0.000, 0.500, 0.000], [0.000, 0.000, 0.000], [0.782, 0.564, 0.325], [0.218, 0.957, 0.675], [0.739, 0.957, 0.675], [0.274, 0.549, 0.323], [0.261, 0.043, 0.325], [0.726, 0.451, 0.677], [0.782, 0.043, 0.325], [0.218, 0.436, 0.675], [0.500, 0.500, 0.500], [0.500, 0.000, 0.500], [0.000, 0.500, 0.500], [0.000, 0.000, 0.500]]
}

Entry 3:
{
  "formula": "Cs2AuBr5",
  "functional": "PBE",
  "state": "relaxed",
  "sg": "I4mm, No. 107",
  "final_energy_ev_per_atom": -2.68,
  "e_form_raw_ev_per_fu": -8.063,
  "crystal_system": "tetragonal",
  "lattice": [[7.588, 0.195, 0.278], [-3.566, 6.701, -0.278], [-3.566, -2.541, 6.207]],
  "species": ["Br", "Br", "Br", "Br", "Br", "Cs", "Cs", "Au"],
  "fractional_positions": [[0.000, 0.338, 0.338], [0.000, 0.202, 0.757], [0.000, 0.757, 0.202], [0.445, 0.202, 0.202], [0.555, 0.757, 0.757], [0.500, 0.235, 0.735], [0.500, 0.735, 0.235], [0.000, 0.996, 0.996]]
}